{
  "formula": "CdHgS2",
  "functional": "PBE",
  "state": "optimized geometry",
  "e_above_lowest_polymorph_mev_per_atom": 218,
  "formation_energy_uncorrected_ev_per_atom": -0.165,
  "total_magnetization_mub_per_cell": 0.000,
  "dos_at_fermi_per_ev_cell": 0.5,
  "lattice": [[6.552, 0.000, 0.000], [0.000, 7.738, 0.000], [0.000, 0.000, 6.844]],
  "species": ["Cd", "Cd", "Cd", "Cd", "Hg", "Hg", "Hg", "Hg", "S", "S", "S", "S", "S", "S", "S", "S"],
  "fractional_positions": [[0.000, 0.126, 0.250], [0.000, 0.874, 0.750], [0.500, 0.374, 0.750], [0.500, 0.626, 0.250], [0.000, 0.377, 0.750], [0.000, 0.623, 0.250], [0.500, 0.123, 0.250], [0.500, 0.877, 0.750], [0.245, 0.126, 0.588], [0.245, 0.874, 0.088], [0.255, 0.374, 0.088], [0.255, 0.626, 0.588], [0.745, 0.374, 0.412], [0.745, 0.626, 0.912], [0.755, 0.126, 0.912], [0.755, 0.874, 0.412]]
}